Record 1
A relaxed structure of Ac2AlAg3. Source: Alexandria via LeMat-Bulk, functional PBE.

**Mass density**: 8.18 Mg/m³
**SG**: Pmm2 (25)
**ΔH_f (0 K)**: -7.27 kcal/mol of atoms
**Calculated volume**: 163.4 Å³/cell
**Magnetic moment**: 0.0 μB per cell

a = 4.027 Å, b = 4.821 Å, c = 8.416 Å
α = 90.00°, β = 90.00°, γ = 90.00°
Element x y z (fractional)
Ac 0.000 0.000 0.000
Ac 0.000 0.500 0.492
Al 0.500 0.500 0.823
Ag 0.500 0.000 0.334
Ag 0.500 0.000 0.675
Ag 0.500 0.500 0.148


Record 2
A relaxed structure of Ac2AlAg5. Source: Alexandria via LeMat-Bulk, functional PBE.

**Mass density**: 7.77 Mg/m³
**SG**: I4mm (107)
**ΔH_f (0 K)**: -2.75 kcal/mol of atoms
**Calculated volume**: 218.0 Å³/cell
**Magnetic moment**: 0.0 μB per cell

a = 7.025 Å, b = 7.025 Å, c = 7.025 Å
α = 126.23°, β = 126.23°, γ = 79.51°
Element x y z (fractional)
Ac 0.000 0.500 0.500
Ac 0.500 0.000 0.500
Al 0.144 0.144 0.000
Ag 0.504 0.504 0.527
Ag 0.504 0.977 0.000
Ag 0.905 0.905 0.000
Ag 0.977 0.504 0.000
Ag 0.977 0.977 0.473


Record 3
A relaxed structure of Ac3Al3Ag2. Source: Alexandria via LeMat-Bulk, functional PBE.

**Mass density**: 7.31 Mg/m³
**SG**: Cmcm (63)
**ΔH_f (0 K)**: -7.16 kcal/mol of atoms
**Calculated volume**: 444.1 Å³/cell
**Magnetic moment**: 0.0 μB per cell

a = 6.114 Å, b = 6.114 Å, c = 16.200 Å
α = 90.00°, β = 90.00°, γ = 132.83°
Element x y z (fractional)
Ac 0.104 0.896 0.610
Ac 0.104 0.896 0.890
Ac 0.388 0.612 0.750
Ac 0.612 0.388 0.250
Ac 0.896 0.104 0.110
Ac 0.896 0.104 0.390
Al 0.315 0.685 0.250
Al 0.391 0.609 0.537
Al 0.391 0.609 0.963
Al 0.609 0.391 0.037
Al 0.609 0.391 0.463
Al 0.685 0.315 0.750
Ag 0.195 0.805 0.096
Ag 0.195 0.805 0.404
Ag 0.805 0.195 0.596
Ag 0.805 0.195 0.904


The records above yield calculated total energy values of -3.73, -3.40, -3.97 eV/atom, respectively.